Density functional theory data (GGA-PBE) for a geometry-optimized AgMo2Pt structure.

Output
ΔH_f (0 K) (eV per formula unit): 2.83
DOS at the Fermi energy (states/eV/atom): 0.84
Energy above the lowest structure with this stoichiometry (meV per atom): 632.2

Lattice parameters (Å, degrees): 5.8308 5.8308 5.8308 101.70 101.70 126.46
Closest atoms and distances in Å follow each position.
Fractional positions:
Ag1 0.0000 0.0000 0.0000  2 Pt 2.63, 4 Mo 2.82
Ag2 0.7500 0.2500 0.5000  2 Pt 2.63, 4 Mo 2.82
Mo1 0.1519 0.6250 0.0269  2 Pt 2.55, 2 Mo 2.66, 2 Ag 2.82
Mo2 0.3750 0.4019 0.5269  2 Pt 2.55, 2 Mo 2.66, 2 Ag 2.82
Mo3 0.5981 0.1250 0.9731  2 Pt 2.55, 2 Mo 2.66, 2 Ag 2.82
Mo4 0.8750 0.8481 0.4731  2 Pt 2.55, 2 Mo 2.66, 2 Ag 2.82
Pt1 0.2500 0.7500 0.5000  4 Mo 2.55, 2 Ag 2.63
Pt2 0.5000 0.5000 0.0000  4 Mo 2.55, 2 Ag 2.63


Density functional theory data (GGA-PBE) for a geometry-optimized Ag2MoPt structure.

Output
ΔH_f (0 K) (eV per formula unit): 0.41
DOS at the Fermi energy (states/eV/atom): 0.93
Energy above the lowest structure with this stoichiometry (meV per atom): 47.9

Lattice parameters (Å, degrees): 9.6562 9.6562 9.6562 16.92 16.92 16.92
Closest atoms and distances in Å follow each position.
Fractional positions:
Ag1 0.0000 0.0000 0.0000  9 Ag 2.84-2.94, 3 Mo 2.95
Ag2 0.2478 0.2478 0.2478  9 Ag 2.84-2.94, 3 Pt 2.95
Mo1 0.7524 0.7524 0.7524  3 Pt 2.72, 6 Mo 2.84, 3 Ag 2.95
Pt1 0.4952 0.4952 0.4952  3 Mo 2.72, 6 Pt 2.84, 3 Ag 2.95


Density functional theory data (GGA-PBE) for a geometry-optimized Ag2MoPt structure.

Output
ΔH_f (0 K) (eV per formula unit): 1.19
DOS at the Fermi energy (states/eV/atom): 0.90
Energy above the lowest structure with this stoichiometry (meV per atom): 245.2

Lattice parameters (Å, degrees): 2.7322 2.7322 9.7085 90.00 90.00 112.85
Closest atoms and distances in Å follow each position.
Fractional positions:
Ag1 0.0000 0.0000 0.2479  6 Ag 2.73-3.02, 2 Pt 2.84, 2 Mo 2.88
Ag2 0.0000 0.0000 0.7521  6 Ag 2.73-3.02, 2 Pt 2.84, 2 Mo 2.88
Mo1 0.5000 0.5000 0.5000  6 Mo 2.73-3.02, 4 Ag 2.88
Pt1 0.5000 0.5000 0.0000  6 Pt 2.73-3.02, 4 Ag 2.84


Density functional theory data (GGA-PBE) for a geometry-optimized AgMo2Pt structure.

Output
ΔH_f (0 K) (eV per formula unit): 0.65
DOS at the Fermi energy (states/eV/atom): 0.82
Energy above the lowest structure with this stoichiometry (meV per atom): 87.1

Lattice parameters (Å, degrees): 5.0737 5.0737 2.7215 90.00 90.00 114.98
Closest atoms and distances in Å follow each position.
Fractional positions:
Ag1 0.0000 0.0000 0.0000  2 Ag 2.72, 2 Pt 2.73, 8 Mo 2.88
Mo1 0.0000 0.5000 0.5000  4 Mo 2.72-2.73, 4 Pt 2.88, 4 Ag 2.88
Mo2 0.5000 0.0000 0.5000  4 Mo 2.72-2.73, 4 Pt 2.88, 4 Ag 2.88
Pt1 0.5000 0.5000 0.0000  2 Pt 2.72, 2 Ag 2.73, 8 Mo 2.88


Density functional theory data (GGA-PBE) for a geometry-optimized Ag2MoPt structure.

Output
ΔH_f (0 K) (eV per formula unit): 1.14
DOS at the Fermi energy (states/eV/atom): 0.68
Energy above the lowest structure with this stoichiometry (meV per atom): 232.2

Lattice parameters (Å, degrees): 2.7652 4.8199 5.0744 90.00 90.00 90.00
Closest atoms and distances in Å follow each position.
Fractional positions:
Ag1 0.0000 0.0000 0.0000  6 Ag 2.77-2.78, 4 Pt 2.89
Ag2 0.5000 0.5000 0.0000  6 Ag 2.77-2.78, 4 Mo 2.89
Mo1 0.0000 0.5000 0.5000  2 Mo 2.77, 4 Pt 2.78, 4 Ag 2.89
Pt1 0.5000 0.0000 0.5000  2 Pt 2.77, 4 Mo 2.78, 4 Ag 2.89


Density functional theory data (GGA-PBE) for a geometry-optimized AgMo2Pt structure.

Output
ΔH_f (0 K) (eV per formula unit): 0.60
DOS at the Fermi energy (states/eV/atom): 0.76
Energy above the lowest structure with this stoichiometry (meV per atom): 74.1

Lattice parameters (Å, degrees): 2.7223 2.7223 8.6199 90.00 90.00 90.00
Closest atoms and distances in Å follow each position.
Fractional positions:
Ag1 0.0000 0.0000 0.0000  4 Ag 2.72, 8 Mo 2.95
Mo1 0.5000 0.5000 0.2588  4 Mo 2.72, 4 Pt 2.83, 4 Ag 2.95
Mo2 0.5000 0.5000 0.7412  4 Mo 2.72, 4 Pt 2.83, 4 Ag 2.95
Pt1 0.0000 0.0000 0.5000  4 Pt 2.72, 8 Mo 2.83


Density functional theory data (GGA-PBE) for a geometry-optimized AgMo2Pt structure.

Output
ΔH_f (0 K) (eV per formula unit): 0.61
DOS at the Fermi energy (states/eV/atom): 0.75
Energy above the lowest structure with this stoichiometry (meV per atom): 76.8

Lattice parameters (Å, degrees): 2.7189 4.0889 5.7792 90.00 90.00 90.00
Closest atoms and distances in Å follow each position.
Fractional positions:
Ag1 0.0000 0.0000 0.0000  2 Ag 2.72, 4 Pt 2.86, 6 Mo 2.87-2.91
Mo1 0.0000 0.0000 0.5033  6 Mo 2.72-2.84, 4 Pt 2.83, 2 Ag 2.87-2.91
Mo2 0.5000 0.5000 0.2568  6 Mo 2.72-2.84, 2 Pt 2.82-2.95, 4 Ag 2.87
Pt1 0.5000 0.5000 0.7456  2 Pt 2.72, 6 Mo 2.82-2.95, 4 Ag 2.86


Density functional theory data (GGA-PBE) for a geometry-optimized Ag2MoPt structure.

Output
ΔH_f (0 K) (eV per formula unit): 1.54
DOS at the Fermi energy (states/eV/atom): 0.79
Energy above the lowest structure with this stoichiometry (meV per atom): 331.4

Lattice parameters (Å, degrees): 5.2931 5.2931 2.7364 90.00 90.00 119.33
Closest atoms and distances in Å follow each position.
Fractional positions:
Ag1 0.0000 0.5000 0.0000  4 Ag 2.67-2.74, 4 Mo 2.98, 4 Pt 2.98
Ag2 0.5000 0.0000 0.0000  4 Ag 2.67-2.74, 4 Mo 2.98, 4 Pt 2.98
Mo1 0.0000 0.0000 0.5000  2 Pt 2.67, 2 Mo 2.74, 8 Ag 2.98
Pt1 0.5000 0.5000 0.5000  2 Mo 2.67, 2 Pt 2.74, 8 Ag 2.98


Density functional theory data (GGA-PBE) for a geometry-optimized AgMo2Pt structure.

Output
ΔH_f (0 K) (eV per formula unit): 0.66
DOS at the Fermi energy (states/eV/atom): 1.25
Energy above the lowest structure with this stoichiometry (meV per atom): 89.1

Lattice parameters (Å, degrees): 9.7657 9.7657 9.7657 16.43 16.43 16.43
Closest atoms and distances in Å follow each position.
Fractional positions:
Ag1 0.0000 0.0000 0.0000  6 Ag 2.79, 3 Pt 2.96, 3 Mo 2.96
Mo1 0.5029 0.5029 0.5029  3 Pt 2.77, 9 Mo 2.79-2.90
Mo2 0.7528 0.7528 0.7528  9 Mo 2.79-2.90, 3 Ag 2.96
Pt1 0.2475 0.2475 0.2475  3 Mo 2.77, 6 Pt 2.79, 3 Ag 2.96


Density functional theory data (GGA-PBE) for a geometry-optimized AgMoPt2 structure.

Output
ΔH_f (0 K) (eV per formula unit): 0.84
DOS at the Fermi energy (states/eV/atom): 1.17
Energy above the lowest structure with this stoichiometry (meV per atom): 436.5

Lattice parameters (Å, degrees): 4.4998 4.4998 4.4998 60.00 60.00 60.00
Closest atoms and distances in Å follow each position.
Fractional positions:
Ag1 0.0000 0.0000 0.0000  4 Mo 2.76, 4 Pt 2.76
Mo1 0.7500 0.7500 0.7500  4 Pt 2.76, 4 Ag 2.76
Pt1 0.2500 0.2500 0.2500  4 Pt 2.76, 4 Ag 2.76
Pt2 0.5000 0.5000 0.5000  4 Mo 2.76, 4 Pt 2.76


Density functional theory data (GGA-PBE) for a geometry-optimized AgMo2Pt structure.

Output
ΔH_f (0 K) (eV per formula unit): 0.81
DOS at the Fermi energy (states/eV/atom): 0.91
Energy above the lowest structure with this stoichiometry (meV per atom): 125.5

Lattice parameters (Å, degrees): 3.3017 3.3017 5.9999 90.00 90.00 90.00
Closest atoms and distances in Å follow each position.
Fractional positions:
Ag1 0.0000 0.0000 0.0000  4 Pt 2.78, 6 Mo 2.86-3.03
Mo1 0.0000 0.0000 0.4942  4 Mo 2.68, 4 Pt 2.79, 1 Ag 2.97
Mo2 0.5000 0.5000 0.2747  4 Mo 2.68, 1 Pt 2.84, 4 Ag 2.86
Pt1 0.5000 0.5000 0.7478  4 Ag 2.78, 5 Mo 2.79-2.84


Density functional theory data (GGA-PBE) for a geometry-optimized AgMo2Pt structure.

Output
ΔH_f (0 K) (eV per formula unit): 0.64
DOS at the Fermi energy (states/eV/atom): 0.81
Energy above the lowest structure with this stoichiometry (meV per atom): 83.0

Lattice parameters (Å, degrees): 2.7188 4.2852 5.4790 90.00 90.00 90.00
Closest atoms and distances in Å follow each position.
Fractional positions:
Ag1 0.0000 0.0000 0.0000  2 Ag 2.72, 2 Pt 2.74, 8 Mo 2.92
Mo1 0.5000 0.5000 0.2629  4 Mo 2.60-2.88, 4 Pt 2.85
Mo2 0.5000 0.5000 0.7371  4 Mo 2.60-2.88, 4 Pt 2.85
Pt1 0.0000 0.0000 0.5000  2 Pt 2.72, 2 Ag 2.74, 8 Mo 2.85


Density functional theory data (GGA-PBE) for a geometry-optimized AgMoPt2 structure.

Output
ΔH_f (0 K) (eV per formula unit): -0.90
DOS at the Fermi energy (states/eV/atom): 0.87
Energy above the lowest structure with this stoichiometry (meV per atom): 0.0

Lattice parameters (Å, degrees): 2.8266 2.8266 8.0475 90.00 90.00 90.00
Closest atoms and distances in Å follow each position.
Fractional positions:
Ag1 0.0000 0.0000 0.0000  4 Ag 2.83, 8 Pt 2.94
Mo1 0.0000 0.0000 0.5000  8 Pt 2.74, 4 Mo 2.83
Pt1 0.5000 0.5000 0.2677  4 Mo 2.74, 4 Pt 2.83, 4 Ag 2.94
Pt2 0.5000 0.5000 0.7323  4 Mo 2.74, 4 Pt 2.83, 4 Ag 2.94


Density functional theory data (GGA-PBE) for a geometry-optimized AgMoPt2 structure.

Output
ΔH_f (0 K) (eV per formula unit): 0.10
DOS at the Fermi energy (states/eV/atom): 0.99
Energy above the lowest structure with this stoichiometry (meV per atom): 250.7

Lattice parameters (Å, degrees): 2.7798 4.1411 5.5693 90.00 90.00 90.00
Closest atoms and distances in Å follow each position.
Fractional positions:
Ag1 0.0000 0.0000 0.0000  6 Pt 2.73-2.84, 2 Ag 2.78, 4 Mo 2.94
Mo1 0.5000 0.5000 0.2793  6 Pt 2.68-2.89, 2 Mo 2.78, 4 Ag 2.94
Pt1 0.0000 0.0000 0.4895  2 Ag 2.73-2.84, 4 Mo 2.75, 6 Pt 2.78-2.92
Pt2 0.5000 0.5000 0.7610  2 Mo 2.68-2.89, 6 Pt 2.78-2.92, 4 Ag 2.83


no.,total moment (μB/atom),final energy (eV per atom)
1,0.00,-6.9299
2,0.00,-5.5421
3,0.00,-5.3449
4,0.00,-7.4749
5,0.00,-5.3579
6,0.00,-7.4879
7,0.00,-7.4852
8,0.00,-5.2587
9,0.00,-7.4729
10,0.00,-6.2299
11,0.00,-7.4365
12,0.00,-7.4790
13,0.00,-6.6663
14,0.00,-6.4156